Pm2NiSn4 after structural relaxation. Source: Alexandria via LeMat-Bulk, functional GGA-PBE.

a = 6.1592 Å, b = 6.8364 Å, c = 9.2368 Å
α = 90.00°, β = 111.44°, γ = 90.00°
Sites, in units of the cell vectors:
Pm 0.2297 0.2500 0.4203
Pm 0.2417 0.2500 0.9494
Pm 0.7583 0.7500 0.0506
Pm 0.7703 0.7500 0.5797
Sn 0.1603 0.7500 0.9169
Sn 0.3870 0.5330 0.7194
Sn 0.6130 0.4670 0.2806
Sn 0.6130 0.0330 0.2806
Sn 0.3870 0.9670 0.7194
Sn 0.8464 0.2500 0.5884
Sn 0.1536 0.7500 0.4116
Sn 0.8397 0.2500 0.0831
Ni 0.3329 0.7500 0.2082
Ni 0.6671 0.2500 0.7918

=====

CaAg2Sb after structural relaxation. Source: Alexandria via LeMat-Bulk, functional GGA-PBE.

a = 4.9354 Å, b = 3.4379 Å, c = 5.6953 Å
α = 89.98°, β = 90.00°, γ = 90.00°
Sites, in units of the cell vectors:
Ag 0.0000 0.7505 0.0095
Ag 0.0000 0.7495 0.4905
Ca 0.5000 0.2500 0.2500
Sb 0.5000 0.7500 0.7500

Output
formation energy from raw total energies = -0.330 eV per atom

=====

Sn4SbTe2Se after structural relaxation. Source: Alexandria via LeMat-Bulk, functional GGA-PBE.

a = 4.4112 Å, b = 7.6666 Å, c = 7.6243 Å
α = 70.60°, β = 90.00°, γ = 90.00°
Sites, in units of the cell vectors:
Sn 0.5000 0.7363 0.2532
Sn 0.0000 0.2641 0.2416
Sn 0.5000 0.2637 0.7468
Sn 0.0000 0.7359 0.7584
Te 0.5000 0.0000 0.5000
Te 0.0000 0.0000 0.0000
Sb 0.0000 0.5000 0.5000
Se 0.5000 0.5000 0.0000

Output
formation energy from raw total energies = -0.227 eV per atom

=====

BeB2PtSe after structural relaxation. Source: Alexandria via LeMat-Bulk, functional GGA-PBE.

a = 3.6399 Å, b = 5.0917 Å, c = 3.6399 Å
α = 90.00°, β = 90.00°, γ = 90.00°
Sites, in units of the cell vectors:
B 0.5000 0.0000 0.0000
B 0.0000 0.0000 0.5000
Be 0.0000 0.0000 0.0000
Pt 0.5000 0.5000 0.5000
Se 0.0000 0.5000 0.0000

Output
formation energy from raw total energies = 1.113 eV per atom

=====

Ti2CdAu after structural relaxation. Source: Alexandria via LeMat-Bulk, functional GGA-PBE.

a = 4.1242 Å, b = 4.1704 Å, c = 4.1704 Å
α = 90.00°, β = 90.00°, γ = 90.00°
Last column: magnetic moment on the atom in μB.
Sites, in units of the cell vectors:
Ti 0.0000 0.5000 0.0000  0.70
Ti 0.0000 0.0000 0.5000  0.70
Au 0.5000 0.5000 0.5000  0.03
Cd 0.5000 0.0000 0.0000  0.00

=====

Zn2PIr after structural relaxation. Source: Alexandria via LeMat-Bulk, functional GGA-PBE.

a = 5.0887 Å, b = 5.0887 Å, c = 4.4466 Å
α = 78.11°, β = 78.11°, γ = 33.30°
Sites, in units of the cell vectors:
Ir 0.5295 0.5295 0.5296
Zn 0.9814 0.9814 0.0374
Zn 0.7886 0.7886 0.6790
P 0.2004 0.2004 0.2540

=====

Rb2LaHfC after structural relaxation. Source: Alexandria via LeMat-Bulk, functional GGA-PBE.

a = 7.5751 Å, b = 4.2274 Å, c = 7.5751 Å
α = 90.00°, β = 90.00°, γ = 90.00°
Last column: magnetic moment on the atom in μB.
Sites, in units of the cell vectors:
Hf 0.5000 0.5000 0.5000  1.33
Rb 0.5000 0.0000 0.0000  0.03
Rb 0.0000 0.0000 0.5000  0.03
C 0.0000 0.5000 0.0000  0.00
La 0.0000 0.0000 0.0000  0.03

=====

AlB3F after structural relaxation. Source: Alexandria via LeMat-Bulk, functional GGA-PBE.

a = 3.7819 Å, b = 3.7819 Å, c = 3.7819 Å
α = 90.00°, β = 90.00°, γ = 90.00°
Sites, in units of the cell vectors:
B 0.0000 0.0000 0.5000
B 0.0000 0.5000 0.0000
B 0.5000 0.0000 0.0000
F 0.0000 0.0000 0.0000
Al 0.5000 0.5000 0.5000

Output
formation energy from raw total energies = 1.661 eV per atom
offset from the most stable computed form = 34 meV per atom

=====

TaGaPb after structural relaxation. Source: Alexandria via LeMat-Bulk, functional GGA-PBE.

a = 3.4892 Å, b = 3.4892 Å, c = 11.0377 Å
α = 90.00°, β = 90.00°, γ = 90.00°
Sites, in units of the cell vectors:
Pb 0.0000 0.5000 0.8668
Pb 0.5000 0.0000 0.1332
Ga 0.5000 0.0000 0.6873
Ga 0.0000 0.5000 0.3127
Ta 0.5000 0.0000 0.4372
Ta 0.0000 0.5000 0.5628

Output
offset from the most stable computed form = 0 meV per atom

=====

Ti3FeCl after structural relaxation. Source: Alexandria via LeMat-Bulk, functional GGA-PBE.

a = 4.3674 Å, b = 4.3674 Å, c = 4.3674 Å
α = 90.00°, β = 90.00°, γ = 90.00°
Sites, in units of the cell vectors:
Cl 0.0000 0.0000 0.0000
Ti 0.0000 0.0000 0.5000
Ti 0.0000 0.5000 0.0000
Ti 0.5000 0.0000 0.0000
Fe 0.5000 0.5000 0.5000

Output
formation energy from raw total energies = 0.375 eV per atom
offset from the most stable computed form = 55 meV per atom

=====

CsBa2Tl2Pb2 after structural relaxation. Source: Alexandria via LeMat-Bulk, functional GGA-PBE.

a = 5.7765 Å, b = 5.7765 Å, c = 11.4772 Å
α = 75.42°, β = 75.42°, γ = 60.00°
Sites, in units of the cell vectors:
Ba 0.1393 0.1393 0.5820
Ba 0.8607 0.8607 0.4180
Tl 0.7431 0.7431 0.7706
Tl 0.2569 0.2569 0.2294
Pb 0.4442 0.4442 0.6673
Pb 0.5558 0.5558 0.3327
Cs 0.0000 0.0000 0.0000

=====

Np2TiB2Ru5 after structural relaxation. Source: Alexandria via LeMat-Bulk, functional GGA-PBE.

a = 3.0618 Å, b = 9.6799 Å, c = 9.6799 Å
α = 90.00°, β = 90.00°, γ = 90.00°
Last column: magnetic moment on the atom in μB.
Sites, in units of the cell vectors:
Ti 0.0000 0.5000 0.5000  0.07
Ti 0.0000 0.0000 0.0000  0.07
Np 0.0000 0.3223 0.8223  3.08
Np 0.0000 0.8223 0.6777  3.08
Np 0.0000 0.1777 0.3223  3.08
Np 0.0000 0.6777 0.1777  3.08
B 0.0000 0.3784 0.1216  -0.01
B 0.0000 0.8784 0.3784  -0.01
B 0.0000 0.6216 0.8784  -0.01
B 0.0000 0.1216 0.6216  -0.01
Ru 0.5000 0.4307 0.2816  -0.23
Ru 0.5000 0.0693 0.7816  -0.23
Ru 0.5000 0.9307 0.2184  -0.23
Ru 0.5000 0.0000 0.5000  -0.16
Ru 0.5000 0.5693 0.7184  -0.23
Ru 0.5000 0.7816 0.9307  -0.23
Ru 0.5000 0.2184 0.0693  -0.23
Ru 0.5000 0.2816 0.5693  -0.23
Ru 0.5000 0.5000 0.0000  -0.16
Ru 0.5000 0.7184 0.4307  -0.23

=====

Li2PmCd3 after structural relaxation. Source: Alexandria via LeMat-Bulk, functional GGA-PBE.

a = 3.4719 Å, b = 3.4719 Å, c = 10.7817 Å
α = 90.00°, β = 90.00°, γ = 90.00°
Sites, in units of the cell vectors:
Pm 0.5000 0.5000 0.5000
Cd 0.0000 0.0000 0.7093
Cd 0.0000 0.0000 0.2907
Cd 0.0000 0.0000 0.0000
Li 0.5000 0.5000 0.8509
Li 0.5000 0.5000 0.1491

Output
offset from the most stable computed form = 0 meV per atom

=====

LaNdZnBr after structural relaxation. Source: Alexandria via LeMat-Bulk, functional GGA-PBE.

a = 5.3472 Å, b = 5.3472 Å, c = 5.3472 Å
α = 60.00°, β = 60.00°, γ = 60.00°
Sites, in units of the cell vectors:
Zn 0.7500 0.7500 0.7500
Nd 0.0000 0.0000 0.0000
Br 0.2500 0.2500 0.2500
La 0.5000 0.5000 0.5000

Output
formation energy from raw total energies = -0.541 eV per atom

=====

Ni2HPt after structural relaxation. Source: Alexandria via LeMat-Bulk, functional GGA-PBE.

a = 5.4749 Å, b = 5.4749 Å, c = 4.7688 Å
α = 54.97°, β = 54.97°, γ = 90.00°
Last column: magnetic moment on the atom in μB.
Sites, in units of the cell vectors:
Ni 0.8750 0.7480 0.7500  0.22
Ni 0.4980 0.1250 0.2500  0.23
Ni 0.2520 0.6250 0.2500  0.24
Ni 0.3750 0.5020 0.7500  0.33
Pt 0.7500 0.2500 0.5000  0.19
Pt 0.0000 0.0000 0.0000  0.20
H 0.5000 0.5000 0.0000  0.00
H 0.2500 0.7500 0.5000  0.00

Output
offset from the most stable computed form = 143 meV per atom

=====

KZr2Pd after structural relaxation. Source: Alexandria via LeMat-Bulk, functional GGA-PBE.

a = 3.3197 Å, b = 3.3197 Å, c = 9.6824 Å
α = 90.00°, β = 90.00°, γ = 90.00°
Sites, in units of the cell vectors:
Zr 0.0000 0.0000 0.3737
Zr 0.5000 0.5000 0.5852
K 0.0000 0.0000 0.9491
Pd 0.5000 0.5000 0.2187

Output
offset from the most stable computed form = 124 meV per atom

=====

HfBeAg after structural relaxation. Source: Alexandria via LeMat-Bulk, functional GGA-PBE.

a = 4.9877 Å, b = 3.4663 Å, c = 11.4415 Å
α = 90.00°, β = 104.34°, γ = 90.00°
Sites, in units of the cell vectors:
Hf 0.8278 0.5000 0.1370
Hf 0.8278 0.0000 0.6370
Hf 0.1722 0.0000 0.3630
Hf 0.1722 0.5000 0.8630
Ag 0.2804 0.0000 0.0788
Ag 0.7196 0.0000 0.9212
Ag 0.7196 0.5000 0.4212
Ag 0.2804 0.5000 0.5788
Be 0.3657 0.0000 0.7324
Be 0.6343 0.0000 0.2676
Be 0.6343 0.5000 0.7676
Be 0.3657 0.5000 0.2324

Output
offset from the most stable computed form = 129 meV per atom

=====

TiCdAs2Br after structural relaxation. Source: Alexandria via LeMat-Bulk, functional GGA-PBE.

a = 5.0689 Å, b = 5.0689 Å, c = 5.5456 Å
α = 90.00°, β = 90.00°, γ = 90.00°
Last column: magnetic moment on the atom in μB.
Sites, in units of the cell vectors:
As 0.5000 0.0000 0.0000  -0.16
As 0.0000 0.5000 0.0000  -0.16
Br 0.0000 0.0000 0.5000  -0.07
Ti 0.5000 0.5000 0.5000  1.81
Cd 0.0000 0.0000 0.0000  0.00

Output
formation energy from raw total energies = 0.782 eV per atom
offset from the most stable computed form = 843 meV per atom

=====

TaCuHg2Ge after structural relaxation. Source: Alexandria via LeMat-Bulk, functional GGA-PBE.

a = 5.4105 Å, b = 4.9844 Å, c = 5.4105 Å
α = 90.00°, β = 90.00°, γ = 90.00°
Sites, in units of the cell vectors:
Ge 0.0000 0.5000 0.0000
Ta 0.0000 0.0000 0.0000
Hg 0.0000 0.0000 0.5000
Hg 0.5000 0.0000 0.0000
Cu 0.5000 0.5000 0.5000

=====

Li5Ca2Au after structural relaxation. Source: Alexandria via LeMat-Bulk, functional GGA-PBE.

a = 5.7901 Å, b = 5.7901 Å, c = 7.4137 Å
α = 67.23°, β = 67.23°, γ = 89.78°
Sites, in units of the cell vectors:
Ca 0.2056 0.7047 0.5900
Ca 0.7047 0.2056 0.5900
Li 0.7266 0.7266 0.0632
Li 0.3239 0.3239 0.3533
Li 0.2093 0.7270 0.0638
Li 0.7270 0.2094 0.0638
Li 0.2098 0.2098 0.0633
Au 0.1159 0.1159 0.7665

=====

OsPtS3 after structural relaxation. Source: Alexandria via LeMat-Bulk, functional GGA-PBE.

a = 4.5661 Å, b = 4.5661 Å, c = 4.5661 Å
α = 90.00°, β = 90.00°, γ = 90.00°
Sites, in units of the cell vectors:
S 0.0000 0.5000 0.0000
S 0.5000 0.0000 0.0000
S 0.0000 0.0000 0.5000
Os 0.0000 0.0000 0.0000
Pt 0.5000 0.5000 0.5000

Output
formation energy from raw total energies = 0.997 eV per atom
offset from the most stable computed form = 0 meV per atom

=====

Pr4NdSn2 after structural relaxation. Source: Alexandria via LeMat-Bulk, functional GGA-PBE.

a = 5.3006 Å, b = 5.3006 Å, c = 11.0219 Å
α = 76.09°, β = 76.09°, γ = 60.00°
Last column: magnetic moment on the atom in μB.
Sites, in units of the cell vectors:
Sn 0.6005 0.6005 0.1985  -0.02
Sn 0.3995 0.3995 0.8015  -0.02
Pr 0.8898 0.8898 0.3305  0.18
Pr 0.7045 0.7045 0.8865  0.07
Pr 0.2955 0.2955 0.1135  0.07
Pr 0.1102 0.1102 0.6695  0.18
Nd 0.5000 0.5000 0.5000  0.23

Output
offset from the most stable computed form = 159 meV per atom

=====

| no. | uncorrected energy (eV/atom) |
| --- | --- |
| 1 | -4.95 |
| 2 | -3.29 |
| 3 | -3.96 |
| 4 | -4.21 |
| 5 | -5.17 |
| 6 | -4.31 |
| 7 | -3.61 |
| 8 | -3.47 |
| 9 | -6.17 |
| 10 | -6.42 |
| 11 | -2.66 |
| 12 | -9.74 |
| 13 | -2.15 |
| 14 | -3.70 |
| 15 | -5.15 |
| 16 | -5.89 |
| 17 | -5.53 |
| 18 | -3.17 |
| 19 | -3.17 |
| 20 | -2.26 |
| 21 | -4.93 |
| 22 | -4.81 |